Version i
Entry from Alexandria via LeMat-Bulk: crystalline CoTcTe2 at its relaxed geometry (PBE).

a b c (Å): 3.3499 3.3499 22.6062
angles (deg): 90.00 90.00 120.00
Fractional coordinates of all 12 atoms:
Co: 0.0000 0.0000 0.0000
Co: 0.3333 0.6667 0.6667
Co: 0.6667 0.3333 0.3333
Tc: 0.0000 0.0000 0.5000
Tc: 0.3333 0.6667 0.1667
Tc: 0.6667 0.3333 0.8333
Te: 0.0000 0.0000 0.2538
Te: 0.0000 0.0000 0.7462
Te: 0.3333 0.6667 0.4129
Te: 0.3333 0.6667 0.9205
Te: 0.6667 0.3333 0.0795
Te: 0.6667 0.3333 0.5871

Output
D(E_F): 3.42 states/eV/f.u.

=====

Version ii
Entry from Alexandria via LeMat-Bulk: crystalline CoTcTe2 at its relaxed geometry (PBE).

a b c (Å): 5.8398 5.8398 11.5475
angles (deg): 90.00 90.00 90.00
Fractional coordinates of all 16 atoms:
Co: 0.0000 0.0000 0.0000
Co: 0.0000 0.5000 0.2500
Co: 0.5000 0.0000 0.7500
Co: 0.5000 0.5000 0.5000
Tc: 0.0000 0.0000 0.5000
Tc: 0.0000 0.5000 0.7500
Tc: 0.5000 0.0000 0.2500
Tc: 0.5000 0.5000 0.0000
Te: 0.2329 0.2500 0.1250
Te: 0.2500 0.7329 0.3750
Te: 0.2500 0.7671 0.8750
Te: 0.2671 0.2500 0.6250
Te: 0.7329 0.7500 0.6250
Te: 0.7500 0.2329 0.8750
Te: 0.7500 0.2671 0.3750
Te: 0.7671 0.7500 0.1250

Output
D(E_F): 4.10 states/eV/f.u.

=====

If we sort the structures by their calculated energies, the order from most to least stable is version i, version ii.

=====

Version i
Entry from Alexandria via LeMat-Bulk: crystalline CoTcTe2 at its relaxed geometry (PBE).

a b c (Å): 3.2583 3.2583 7.9483
angles (deg): 90.00 90.00 90.00
Fractional coordinates of all 4 atoms:
Co: 0.0000 0.0000 0.0000
Tc: 0.5000 0.5000 0.2058
Te: 0.0000 0.0000 0.3879
Te: 0.5000 0.5000 0.8534

Output
D(E_F): 3.57 states/eV/f.u.

=====

Version ii
Entry from Alexandria via LeMat-Bulk: crystalline CoTcTe2 at its relaxed geometry (PBE).

a b c (Å): 3.3874 3.3874 25.7654
angles (deg): 90.00 90.00 120.00
Fractional coordinates of all 12 atoms:
Co: 0.0000 0.0000 0.0000
Co: 0.3333 0.6667 0.6667
Co: 0.6667 0.3333 0.3333
Tc: 0.0000 0.0000 0.5000
Tc: 0.3333 0.6667 0.1667
Tc: 0.6667 0.3333 0.8333
Te: 0.0000 0.0000 0.0940
Te: 0.0000 0.0000 0.9060
Te: 0.3333 0.6667 0.5726
Te: 0.3333 0.6667 0.7607
Te: 0.6667 0.3333 0.2393
Te: 0.6667 0.3333 0.4274

Output
D(E_F): 4.47 states/eV/f.u.

=====

If we sort the structures by their calculated energies, the order from most to least stable is version i, version ii.

=====

Version i
Entry from Alexandria via LeMat-Bulk: crystalline CoTcTe2 at its relaxed geometry (PBE).

a b c (Å): 4.6598 4.6598 3.2956
angles (deg): 90.00 90.00 90.00
Fractional coordinates of all 4 atoms:
Co: 0.0000 0.0000 0.0000
Tc: 0.5000 0.5000 0.0000
Te: 0.0000 0.5000 0.5000
Te: 0.5000 0.0000 0.5000

Output
D(E_F): 4.01 states/eV/f.u.

=====

Version ii
Entry from Alexandria via LeMat-Bulk: crystalline CoTcTe2 at its relaxed geometry (PBE).

a b c (Å): 6.5993 6.5993 6.5993
angles (deg): 90.00 90.00 90.00
Fractional coordinates of all 16 atoms:
Co: 0.0000 0.0000 0.0000
Co: 0.0000 0.5000 0.5000
Co: 0.5000 0.0000 0.5000
Co: 0.5000 0.5000 0.0000
Tc: 0.0000 0.0000 0.5000
Tc: 0.0000 0.5000 0.0000
Tc: 0.5000 0.0000 0.0000
Tc: 0.5000 0.5000 0.5000
Te: 0.2500 0.2500 0.2500
Te: 0.2500 0.2500 0.7500
Te: 0.2500 0.7500 0.2500
Te: 0.2500 0.7500 0.7500
Te: 0.7500 0.2500 0.2500
Te: 0.7500 0.2500 0.7500
Te: 0.7500 0.7500 0.2500
Te: 0.7500 0.7500 0.7500

Output
D(E_F): 3.01 states/eV/f.u.

=====

Version iii
Entry from Alexandria via LeMat-Bulk: crystalline CoTcTe2 at its relaxed geometry (PBE).

a b c (Å): 3.9358 3.9354 6.5420
angles (deg): 90.00 90.06 90.00
Fractional coordinates of all 4 atoms:
Co: 0.0000 0.0000 0.0000
Tc: 0.5001 0.5000 0.0001
Te: 0.0005 0.5000 0.2526
Te: 0.4995 0.0000 0.7474

Output
D(E_F): 3.17 states/eV/f.u.

=====

Version iv
Entry from Alexandria via LeMat-Bulk: crystalline CoTcTe2 at its relaxed geometry (PBE).

a b c (Å): 3.2919 3.2901 6.5931
angles (deg): 90.00 90.43 90.00
Fractional coordinates of all 4 atoms:
Co: 0.0000 0.0000 0.0000
Tc: 0.0000 0.0000 0.5000
Te: 0.4941 0.5000 0.2472
Te: 0.5059 0.5000 0.7528

Output
D(E_F): 4.73 states/eV/f.u.

=====

If we sort the structures by their calculated energies, the order from most to least stable is version iii, version iv, version ii, version i.

=====

Version i
Entry from Alexandria via LeMat-Bulk: crystalline ThCoTc at its relaxed geometry (PBE).

a b c (Å): 3.4947 18.7126 3.6237
angles (deg): 90.00 90.00 90.00
Fractional coordinates of all 12 atoms:
Th: 0.0000 0.1036 0.2500
Th: 0.0000 0.8964 0.7500
Th: 0.5000 0.3964 0.7500
Th: 0.5000 0.6036 0.2500
Co: 0.0000 0.4622 0.2500
Co: 0.0000 0.5378 0.7500
Co: 0.5000 0.0378 0.7500
Co: 0.5000 0.9622 0.2500
Tc: 0.0000 0.2465 0.7500
Tc: 0.0000 0.7535 0.2500
Tc: 0.5000 0.2535 0.2500
Tc: 0.5000 0.7465 0.7500

Output
D(E_F): 3.27 states/eV/f.u.

=====

Version ii
Entry from Alexandria via LeMat-Bulk: crystalline ThCoTc at its relaxed geometry (PBE).

a b c (Å): 4.1090 4.1090 4.1369
angles (deg): 90.00 90.00 120.00
Fractional coordinates of all 3 atoms:
Th: 0.0000 0.0000 0.0000
Co: 0.3333 0.6667 0.5000
Tc: 0.6667 0.3333 0.5000

Output
D(E_F): 4.16 states/eV/f.u.

=====

If we sort the structures by their calculated energies, the order from most to least stable is version ii, version i.

=====

Version i
Entry from Alexandria via LeMat-Bulk: crystalline Ti3CoTc at its relaxed geometry (PBE).

a b c (Å): 4.6486 4.6486 4.6486
angles (deg): 90.00 90.00 90.00
Fractional coordinates of all 5 atoms:
Ti: 0.0000 0.0000 0.5000
Ti: 0.0000 0.5000 0.0000
Ti: 0.5000 0.0000 0.0000
Co: 0.5000 0.5000 0.5000
Tc: 0.0000 0.0000 0.0000

Output
D(E_F): 9.39 states/eV/f.u.

=====

Version ii
Entry from Alexandria via LeMat-Bulk: crystalline Ti3CoTc at its relaxed geometry (PBE).

a b c (Å): 4.3983 4.3983 4.3983
angles (deg): 90.00 90.00 90.00
Fractional coordinates of all 5 atoms:
Ti: 0.0000 0.0000 0.5000
Ti: 0.0000 0.5000 0.0000
Ti: 0.5000 0.0000 0.0000
Co: 0.0000 0.0000 0.0000
Tc: 0.5000 0.5000 0.5000

Output
D(E_F): 11.21 states/eV/f.u.

=====

If we sort the structures by their calculated energies, the order from most to least stable is version ii, version i.

=====

Version i
Entry from Alexandria via LeMat-Bulk: crystalline Ti4CoTc at its relaxed geometry (PBE).

a b c (Å): 3.0814 3.0814 9.4745
angles (deg): 90.00 90.00 90.00
Fractional coordinates of all 6 atoms:
Ti: 0.0000 0.0000 0.1507
Ti: 0.0000 0.0000 0.8493
Ti: 0.5000 0.5000 0.3416
Ti: 0.5000 0.5000 0.6584
Co: 0.5000 0.5000 0.0000
Tc: 0.0000 0.0000 0.5000

Output
D(E_F): 8.83 states/eV/f.u.

=====

Version ii
Entry from Alexandria via LeMat-Bulk: crystalline Ti4CoTc at its relaxed geometry (PBE).

a b c (Å): 6.7395 6.7395 6.7395
angles (deg): 37.90 37.90 37.90
Fractional coordinates of all 6 atoms:
Ti: 0.1214 0.1214 0.1214
Ti: 0.3708 0.3708 0.3708
Ti: 0.6292 0.6292 0.6292
Ti: 0.8786 0.8786 0.8786
Co: 0.0000 0.0000 0.0000
Tc: 0.5000 0.5000 0.5000

Output
D(E_F): 7.27 states/eV/f.u.

=====

If we sort the structures by their calculated energies, the order from most to least stable is version i, version ii.

=====

Version i
Entry from Alexandria via LeMat-Bulk: crystalline Ti2Co2Tc at its relaxed geometry (PBE).

a b c (Å): 6.8802 6.8802 2.8446
angles (deg): 90.00 90.00 90.00
Fractional coordinates of all 10 atoms:
Ti: 0.1716 0.3284 0.0000
Ti: 0.3284 0.8284 0.0000
Ti: 0.6716 0.1716 0.0000
Ti: 0.8284 0.6716 0.0000
Co: 0.1273 0.6273 0.5000
Co: 0.3727 0.1273 0.5000
Co: 0.6273 0.8727 0.5000
Co: 0.8727 0.3727 0.5000
Tc: 0.0000 0.0000 0.5000
Tc: 0.5000 0.5000 0.5000

Output
D(E_F): 4.96 states/eV/f.u.

=====

Version ii
Entry from Alexandria via LeMat-Bulk: crystalline Ti2Co2Tc at its relaxed geometry (PBE).

a b c (Å): 6.9717 6.9717 2.7692
angles (deg): 90.00 90.00 90.00
Fractional coordinates of all 10 atoms:
Ti: 0.1560 0.3440 0.0000
Ti: 0.3440 0.8440 0.0000
Ti: 0.6560 0.1560 0.0000
Ti: 0.8440 0.6560 0.0000
Co: 0.1439 0.6439 0.5000
Co: 0.3561 0.1439 0.5000
Co: 0.6439 0.8561 0.5000
Co: 0.8561 0.3561 0.5000
Tc: 0.0000 0.0000 0.0000
Tc: 0.5000 0.5000 0.0000

Output
D(E_F): 3.98 states/eV/f.u.

=====

If we sort the structures by their calculated energies, the order from most to least stable is version i, version ii.

=====

Version i
Entry from Alexandria via LeMat-Bulk: crystalline Tl2CoTc at its relaxed geometry (PBE).

a b c (Å): 10.8093 3.0748 4.8209
angles (deg): 90.00 110.61 90.00
Fractional coordinates of all 8 atoms:
Tl: 0.0000 0.0000 0.0000
Tl: 0.2151 0.0000 0.6364
Tl: 0.5000 0.5000 0.0000
Tl: 0.7151 0.5000 0.6364
Co: 0.2723 0.5000 0.1756
Co: 0.7723 0.0000 0.1756
Tc: 0.4518 0.0000 0.4673
Tc: 0.9518 0.5000 0.4673

Output
D(E_F): 4.94 states/eV/f.u.

=====

Version ii
Entry from Alexandria via LeMat-Bulk: crystalline Tl2CoTc at its relaxed geometry (PBE).

a b c (Å): 3.2003 5.1295 8.9676
angles (deg): 90.00 90.00 90.00
Fractional coordinates of all 8 atoms:
Tl: 0.0000 0.0000 0.2345
Tl: 0.0000 0.0000 0.7655
Tl: 0.5000 0.5000 0.2655
Tl: 0.5000 0.5000 0.7345
Co: 0.0000 0.5000 0.5000
Co: 0.5000 0.0000 0.0000
Tc: 0.0000 0.5000 0.0000
Tc: 0.5000 0.0000 0.5000

Output
D(E_F): 4.58 states/eV/f.u.

=====

Version iii
Entry from Alexandria via LeMat-Bulk: crystalline Tl2CoTc at its relaxed geometry (PBE).

a b c (Å): 3.6442 4.1347 5.4596
angles (deg): 90.00 109.40 90.00
Fractional coordinates of all 4 atoms:
Tl: 0.0000 0.0000 0.0000
Tl: 0.3094 0.5000 0.6220
Co: 0.5978 0.5000 0.1984
Tc: 0.7166 0.0000 0.4359

Output
D(E_F): 3.83 states/eV/f.u.

=====

Version iv
Entry from Alexandria via LeMat-Bulk: crystalline Tl2CoTc at its relaxed geometry (PBE).

a b c (Å): 3.1178 3.1178 25.8050
angles (deg): 90.00 90.00 120.00
Fractional coordinates of all 12 atoms:
Tl: 0.0000 0.0000 0.2461
Tl: 0.0000 0.0000 0.7539
Tl: 0.3333 0.6667 0.4206
Tl: 0.3333 0.6667 0.9127
Tl: 0.6667 0.3333 0.0873
Tl: 0.6667 0.3333 0.5794
Co: 0.0000 0.0000 0.5000
Co: 0.3333 0.6667 0.1667
Co: 0.6667 0.3333 0.8333
Tc: 0.0000 0.0000 0.0000
Tc: 0.3333 0.6667 0.6667
Tc: 0.6667 0.3333 0.3333

Output
D(E_F): 4.12 states/eV/f.u.

=====

If we sort the structures by their calculated energies, the order from most to least stable is version iii, version i, version iv, version ii.

=====

Version i
Entry from Alexandria via LeMat-Bulk: crystalline Tl2CoTc at its relaxed geometry (PBE).

a b c (Å): 8.8965 3.1416 5.3775
angles (deg): 90.00 103.20 90.00
Fractional coordinates of all 8 atoms:
Tl: 0.2442 0.0000 0.2423
Tl: 0.2558 0.5000 0.7577
Tl: 0.7442 0.5000 0.2423
Tl: 0.7558 0.0000 0.7577
Co: 0.0000 0.5000 0.0000
Co: 0.5000 0.0000 0.0000
Tc: 0.0000 0.0000 0.5000
Tc: 0.5000 0.5000 0.5000

Output
D(E_F): 5.12 states/eV/f.u.

=====

Version ii
Entry from Alexandria via LeMat-Bulk: crystalline Tl2CoTc at its relaxed geometry (PBE).

a b c (Å): 7.3890 7.3890 5.8138
angles (deg): 90.00 90.00 90.00
Fractional coordinates of all 16 atoms:
Tl: 0.2275 0.2500 0.1250
Tl: 0.2500 0.7275 0.3750
Tl: 0.2500 0.7725 0.8750
Tl: 0.2725 0.2500 0.6250
Tl: 0.7275 0.7500 0.6250
Tl: 0.7500 0.2275 0.8750
Tl: 0.7500 0.2725 0.3750
Tl: 0.7725 0.7500 0.1250
Co: 0.0000 0.0000 0.0000
Co: 0.0000 0.5000 0.2500
Co: 0.5000 0.0000 0.7500
Co: 0.5000 0.5000 0.5000
Tc: 0.0000 0.0000 0.5000
Tc: 0.0000 0.5000 0.7500
Tc: 0.5000 0.0000 0.2500
Tc: 0.5000 0.5000 0.0000

Output
D(E_F): 5.21 states/eV/f.u.

=====

If we sort the structures by their calculated energies, the order from most to least stable is version i, version ii.

=====

Version i
Entry from Alexandria via LeMat-Bulk: crystalline Tl2CoTc at its relaxed geometry (PBE).

a b c (Å): 4.5769 4.5769 3.3701
angles (deg): 90.00 90.00 90.00
Fractional coordinates of all 4 atoms:
Tl: 0.0000 0.5000 0.0000
Tl: 0.5000 0.0000 0.0000
Co: 0.0000 0.0000 0.5000
Tc: 0.5000 0.5000 0.5000

Output
D(E_F): 7.44 states/eV/f.u.

=====

Version ii
Entry from Alexandria via LeMat-Bulk: crystalline Tl2CoTc at its relaxed geometry (PBE).

a b c (Å): 3.1880 5.2327 8.9403
angles (deg): 90.00 90.00 90.00
Fractional coordinates of all 8 atoms:
Tl: 0.0000 0.0000 0.2388
Tl: 0.0000 0.0000 0.7612
Tl: 0.5000 0.5000 0.2388
Tl: 0.5000 0.5000 0.7612
Co: 0.0000 0.5000 0.0000
Co: 0.5000 0.0000 0.0000
Tc: 0.0000 0.5000 0.5000
Tc: 0.5000 0.0000 0.5000

Output
D(E_F): 4.83 states/eV/f.u.

=====

If we sort the structures by their calculated energies, the order from most to least stable is version i, version ii.

=====

Version i
Entry from Alexandria via LeMat-Bulk: crystalline Tl2CoTc at its relaxed geometry (PBE).

a b c (Å): 3.2577 3.2687 6.5915
angles (deg): 90.00 90.07 90.00
Fractional coordinates of all 4 atoms:
Tl: 0.9998 0.0000 0.2377
Tl: 0.0002 0.0000 0.7623
Co: 0.5000 0.5000 0.0000
Tc: 0.5000 0.5000 0.5000

Output
D(E_F): 4.50 states/eV/f.u.

=====

Version ii
Entry from Alexandria via LeMat-Bulk: crystalline Tl2CoTc at its relaxed geometry (PBE).

a b c (Å): 6.5553 6.5553 6.5553
angles (deg): 90.00 90.00 90.00
Fractional coordinates of all 16 atoms:
Tl: 0.2500 0.2500 0.2500
Tl: 0.2500 0.2500 0.7500
Tl: 0.2500 0.7500 0.2500
Tl: 0.2500 0.7500 0.7500
Tl: 0.7500 0.2500 0.2500
Tl: 0.7500 0.2500 0.7500
Tl: 0.7500 0.7500 0.2500
Tl: 0.7500 0.7500 0.7500
Co: 0.0000 0.0000 0.0000
Co: 0.0000 0.5000 0.5000
Co: 0.5000 0.0000 0.5000
Co: 0.5000 0.5000 0.0000
Tc: 0.0000 0.0000 0.5000
Tc: 0.0000 0.5000 0.0000
Tc: 0.5000 0.0000 0.0000
Tc: 0.5000 0.5000 0.5000

Output
D(E_F): 10.77 states/eV/f.u.

=====

If we sort the structures by their calculated energies, the order from most to least stable is version i, version ii.

=====

Version i
Entry from Alexandria via LeMat-Bulk: crystalline Tl2CoTc at its relaxed geometry (PBE).

a b c (Å): 6.7287 6.7287 6.7287
angles (deg): 90.00 90.00 90.00
Fractional coordinates of all 16 atoms:
Tl: 0.0000 0.0000 0.0000
Tl: 0.0000 0.5000 0.5000
Tl: 0.2500 0.2500 0.2500
Tl: 0.2500 0.7500 0.7500
Tl: 0.5000 0.0000 0.5000
Tl: 0.5000 0.5000 0.0000
Tl: 0.7500 0.2500 0.7500
Tl: 0.7500 0.7500 0.2500
Co: 0.0000 0.0000 0.5000
Co: 0.0000 0.5000 0.0000
Co: 0.5000 0.0000 0.0000
Co: 0.5000 0.5000 0.5000
Tc: 0.2500 0.2500 0.7500
Tc: 0.2500 0.7500 0.2500
Tc: 0.7500 0.2500 0.2500
Tc: 0.7500 0.7500 0.7500

Output
D(E_F): 4.33 states/eV/f.u.

=====

Version ii
Entry from Alexandria via LeMat-Bulk: crystalline Tl2CoTc at its relaxed geometry (PBE).

a b c (Å): 2.9852 2.9852 8.8910
angles (deg): 90.00 90.00 90.00
Fractional coordinates of all 4 atoms:
Tl: 0.0000 0.0000 0.0000
Tl: 0.5000 0.5000 0.3578
Co: 0.0000 0.0000 0.5995
Tc: 0.5000 0.5000 0.7448

Output
D(E_F): 4.00 states/eV/f.u.

=====

If we sort the structures by their calculated energies, the order from most to least stable is version ii, version i.